# 1
# La2PuMoN5

La2PuMoN5 after structural relaxation (PBE, Alexandria).

Lattice parameters (Å, degrees): 3.564 7.233 10.683 90.00 90.00 104.26
Atoms (fractional coordinates):
La  0.854  0.707  0.805
La  0.108  0.215  0.682
La  0.146  0.293  0.305
La  0.892  0.785  0.182
Pu  0.793  0.587  0.513
Pu  0.207  0.413  0.013
Mo  0.522  0.044  0.956
Mo  0.478  0.956  0.456
N  0.371  0.741  0.006
N  0.677  0.354  0.889
N  0.487  0.974  0.789
N  0.281  0.562  0.651
N  0.960  0.920  0.534
N  0.629  0.259  0.506
N  0.323  0.646  0.389
N  0.513  0.026  0.289
N  0.719  0.438  0.151
N  0.040  0.080  0.034

Properties
- Fermi-level density of states (states/eV/atom) = 0.77
- energy relative to the elements, uncorrected (eV/atom) = -1.083
- space group = Cmc2_1
- size of the total moment (μB/atom) = 0.41
- DFT total energy (eV/atom) = -9.599

# 2
# LaMoS2N

LaMoS2N after structural relaxation (PBE, Alexandria).

Lattice parameters (Å, degrees): 5.533 5.533 4.228 90.00 90.00 90.00
Atoms (fractional coordinates):
Mo  0.500  0.500  0.500
N  0.000  0.000  0.500
S  0.000  0.500  0.000
S  0.500  0.000  0.000
La  0.000  0.000  0.000

Properties
- Fermi-level density of states (states/eV/atom) = 1.01
- energy relative to the elements, uncorrected (eV/atom) = 0.780
- space group = P4/mmm
- energy above the most stable polymorph in this dataset (meV per atom) = 1757
- size of the total moment (μB/atom) = 0.57
- DFT total energy (eV/atom) = -5.688

# 3
# LaMoS2N

LaMoS2N after structural relaxation (PBE, Alexandria).

Lattice parameters (Å, degrees): 4.876 4.876 3.875 90.00 90.00 90.00
Atoms (fractional coordinates):
Mo  0.000  0.000  0.000
N  0.000  0.000  0.500
S  0.000  0.500  0.000
S  0.500  0.000  0.000
La  0.500  0.500  0.500

Properties
- Fermi-level density of states (states/eV/atom) = 0.48
- energy relative to the elements, uncorrected (eV/atom) = -0.977
- space group = P4/mmm
- energy above the most stable polymorph in this dataset (meV per atom) = 0
- size of the total moment (μB/atom) = 0.07
- DFT total energy (eV/atom) = -7.445

# 4
# La2SmMoN4

La2SmMoN4 after structural relaxation (PBE, Alexandria).

Lattice parameters (Å, degrees): 3.491 6.297 12.689 90.00 90.00 106.09
Atoms (fractional coordinates):
La  0.368  0.736  0.541
La  0.632  0.264  0.041
La  0.632  0.264  0.459
La  0.368  0.736  0.959
Sm  0.090  0.180  0.750
Sm  0.910  0.820  0.250
Mo  0.828  0.656  0.750
Mo  0.172  0.344  0.250
N  0.274  0.548  0.137
N  0.726  0.452  0.637
N  0.726  0.452  0.863
N  0.274  0.548  0.363
N  0.000  0.000  0.500
N  0.000  0.000  0.000
N  0.437  0.873  0.750
N  0.563  0.127  0.250

Properties
- Fermi-level density of states (states/eV/atom) = 0.41
- energy relative to the elements, uncorrected (eV/atom) = -0.930
- space group = Cmcm
- size of the total moment (μB/atom) = 0.00
- DFT total energy (eV/atom) = -8.268

# 5
# LaSmMoN4

LaSmMoN4 after structural relaxation (PBE, Alexandria).

Lattice parameters (Å, degrees): 3.939 3.939 6.988 106.37 106.37 90.00
Atoms (fractional coordinates):
La  0.644  0.644  0.287
Sm  0.353  0.353  0.705
Mo  0.988  0.988  0.976
N  0.001  0.501  0.002
N  0.501  0.001  0.002
N  0.837  0.837  0.675
N  0.176  0.176  0.352

Properties
- Fermi-level density of states (states/eV/atom) = 0.21
- energy relative to the elements, uncorrected (eV/atom) = -0.980
- space group = I4mm
- size of the total moment (μB/atom) = 0.00
- DFT total energy (eV/atom) = -8.663

# 6
# Sr2LaMoN4

Sr2LaMoN4 after structural relaxation (PBE, Alexandria).

Lattice parameters (Å, degrees): 5.630 7.160 7.798 90.00 90.00 90.00
Atoms (fractional coordinates):
Sr  0.464  0.343  0.250
Sr  0.464  0.343  0.750
Sr  0.964  0.657  0.750
Sr  0.964  0.657  0.250
La  0.972  0.144  0.500
La  0.472  0.856  0.000
Mo  0.502  0.837  0.500
Mo  0.002  0.163  0.000
N  0.334  0.159  0.000
N  0.834  0.841  0.500
N  0.419  0.098  0.500
N  0.919  0.902  0.000
N  0.422  0.712  0.708
N  0.922  0.288  0.208
N  0.922  0.288  0.792
N  0.422  0.712  0.292

Properties
- Fermi-level density of states (states/eV/atom) = 0.30
- energy relative to the elements, uncorrected (eV/atom) = -0.912
- space group = Pmn2_1
- size of the total moment (μB/atom) = 0.13
- DFT total energy (eV/atom) = -7.465

# 7
# La2TaMoN5

La2TaMoN5 after structural relaxation (PBE, Alexandria).

Lattice parameters (Å, degrees): 3.403 6.997 10.815 90.00 90.00 103.68
Atoms (fractional coordinates):
La  0.870  0.709  0.798
La  0.100  0.216  0.685
La  0.130  0.291  0.298
La  0.900  0.784  0.185
Ta  0.736  0.565  0.513
Ta  0.264  0.435  0.013
Mo  0.541  0.060  0.960
Mo  0.459  0.940  0.460
N  0.388  0.727  0.999
N  0.687  0.366  0.889
N  0.494  0.985  0.791
N  0.294  0.563  0.644
N  0.941  0.900  0.545
N  0.612  0.273  0.499
N  0.313  0.634  0.389
N  0.506  0.015  0.291
N  0.706  0.437  0.144
N  0.059  0.100  0.045

Properties
- Fermi-level density of states (states/eV/atom) = 0.32
- energy relative to the elements, uncorrected (eV/atom) = -1.096
- space group = P2_1
- size of the total moment (μB/atom) = 0.00
- DFT total energy (eV/atom) = -9.336

# 8
# LaTb2MoN4

LaTb2MoN4 after structural relaxation (PBE, Alexandria).

Lattice parameters (Å, degrees): 3.465 6.243 12.000 90.00 90.00 106.11
Atoms (fractional coordinates):
La  0.087  0.173  0.750
La  0.913  0.827  0.250
Tb  0.370  0.741  0.540
Tb  0.630  0.259  0.040
Tb  0.630  0.259  0.460
Tb  0.370  0.741  0.960
Mo  0.829  0.658  0.750
Mo  0.171  0.342  0.250
N  0.263  0.526  0.120
N  0.737  0.474  0.620
N  0.737  0.474  0.880
N  0.263  0.526  0.380
N  0.000  0.000  0.500
N  0.000  0.000  0.000
N  0.430  0.860  0.750
N  0.570  0.140  0.250

Properties
- Fermi-level density of states (states/eV/atom) = 0.29
- energy relative to the elements, uncorrected (eV/atom) = -1.155
- space group = Cmcm
- size of the total moment (μB/atom) = 0.00
- DFT total energy (eV/atom) = -8.445

# 9
# La2TlMoN

La2TlMoN after structural relaxation (PBE, Alexandria).

Lattice parameters (Å, degrees): 5.348 5.348 4.056 90.00 90.00 90.00
Atoms (fractional coordinates):
Tl  0.500  0.500  0.500
N  0.000  0.000  0.000
Mo  0.000  0.000  0.500
La  0.000  0.500  0.000
La  0.500  0.000  0.000

Properties
- Fermi-level density of states (states/eV/atom) = 0.74
- energy relative to the elements, uncorrected (eV/atom) = -0.525
- space group = P4/mmm
- size of the total moment (μB/atom) = 0.00
- DFT total energy (eV/atom) = -6.801

# 10
# LaTm2MoN4

LaTm2MoN4 after structural relaxation (PBE, Alexandria).

Lattice parameters (Å, degrees): 3.418 6.163 11.829 90.00 90.00 106.10
Atoms (fractional coordinates):
La  0.087  0.174  0.750
La  0.913  0.826  0.250
Tm  0.371  0.742  0.540
Tm  0.629  0.258  0.040
Tm  0.629  0.258  0.460
Tm  0.371  0.742  0.960
Mo  0.829  0.657  0.750
Mo  0.171  0.343  0.250
N  0.261  0.523  0.116
N  0.739  0.477  0.616
N  0.739  0.477  0.884
N  0.261  0.523  0.384
N  0.000  0.000  0.500
N  0.000  0.000  0.000
N  0.430  0.860  0.750
N  0.570  0.140  0.250

Properties
- Fermi-level density of states (states/eV/atom) = 0.27
- energy relative to the elements, uncorrected (eV/atom) = -1.219
- space group = Cmcm
- size of the total moment (μB/atom) = 0.00
- DFT total energy (eV/atom) = -8.469

# 11
# La2UMoN5

La2UMoN5 after structural relaxation (PBE, Alexandria).

Lattice parameters (Å, degrees): 3.947 3.947 8.579 90.00 90.00 90.00
Atoms (fractional coordinates):
La  0.500  0.500  0.292
La  0.500  0.500  0.708
U  0.000  0.000  0.000
Mo  0.000  0.000  0.500
N  0.000  0.500  0.500
N  0.500  0.000  0.500
N  0.000  0.000  0.767
N  0.000  0.000  0.233
N  0.500  0.500  0.000

Properties
- Fermi-level density of states (states/eV/atom) = 0.91
- energy relative to the elements, uncorrected (eV/atom) = -1.138
- space group = P4/mmm
- size of the total moment (μB/atom) = 0.11
- DFT total energy (eV/atom) = -9.316

# 12
# La2VMoN

La2VMoN after structural relaxation (PBE, Alexandria).

Lattice parameters (Å, degrees): 5.248 3.824 5.248 90.00 90.00 90.00
Atoms (fractional coordinates):
N  0.000  0.000  0.000
Mo  0.500  0.500  0.500
V  0.000  0.500  0.000
La  0.000  0.000  0.500
La  0.500  0.000  0.000

Properties
- Fermi-level density of states (states/eV/atom) = 0.83
- energy relative to the elements, uncorrected (eV/atom) = -0.138
- space group = P4/mmm
- size of the total moment (μB/atom) = 0.64
- DFT total energy (eV/atom) = -7.764

Q: Among the records above, which one has the highest size of the total moment?
A: La2VMoN

Repeat the second record exactly.
# LaMoS2N

LaMoS2N after structural relaxation (PBE, Alexandria).

Lattice parameters (Å, degrees): 5.533 5.533 4.228 90.00 90.00 90.00
Atoms (fractional coordinates):
Mo  0.500  0.500  0.500
N  0.000  0.000  0.500
S  0.000  0.500  0.000
S  0.500  0.000  0.000
La  0.000  0.000  0.000

Properties
- Fermi-level density of states (states/eV/atom) = 1.01
- energy relative to the elements, uncorrected (eV/atom) = 0.780
- space group = P4/mmm
- energy above the most stable polymorph in this dataset (meV per atom) = 1757
- size of the total moment (μB/atom) = 0.57
- DFT total energy (eV/atom) = -5.688